Entry 1:
Compound: KCaS
Source: Alexandria via LeMat-Bulk
Functional: GGA-PBE
Structure: relaxed

Geometry as extended XYZ:
```
6
Lattice="2.1166 -3.6553 0.0000 2.1166 3.6553 0.0000 0.0000 0.0000 14.8678" Properties=species:S:1:pos:R:3 pbc="T T T"
K 2.1166 3.6289 7.4339
K 2.1166 -3.6289 0.0000
Ca 2.1166 1.2512 11.5082
Ca 2.1166 -1.2512 4.0743
S 2.1166 1.1883 5.3092
S 2.1166 -1.1883 12.7431
```

## Properties
The calculation puts the size of the total moment at 0.0 μB/f.u. For the uncorrected formation energy, the calculation gives -1.1898 eV/atom. As for the space group: Cmc2_1.

***

Entry 2:
Compound: K2CaS
Source: Alexandria via LeMat-Bulk
Functional: GGA-PBE
Structure: relaxed

Geometry as extended XYZ:
```
8
Lattice="-6.0138 6.0138 2.6700 6.0138 -6.0138 2.6700 6.0138 6.0138 -2.6700" Properties=species:S:1:pos:R:3 pbc="T T T"
K 1.1567 3.0069 0.6675
K -3.0069 4.8571 2.0025
K -1.1567 9.0207 0.6675
K 3.0069 7.1705 2.0025
Ca 6.0138 0.0000 1.3350
Ca 0.0000 0.0000 2.6700
S 0.0000 0.0000 0.0000
S 0.0000 6.0138 1.3350
```

## Properties
The calculation puts the size of the total moment at 0.0 μB/f.u. For the uncorrected formation energy, the calculation gives -0.6842 eV/atom. As for the space group: I-42d.

***

Entry 3:
Compound: KCaS2
Source: Alexandria via LeMat-Bulk
Functional: GGA-PBE
Structure: relaxed

Geometry as extended XYZ:
```
4
Lattice="0.0000 3.6058 3.6058 3.6058 0.0000 3.6058 3.6058 3.6058 0.0000" Properties=species:S:1:pos:R:3 pbc="T T T"
K 0.0000 0.0000 0.0000
Ca 3.6058 3.6058 3.6058
S 1.8029 1.8029 1.8029
S 5.4087 5.4087 5.4087
```

## Properties
The calculation puts the size of the total moment at 0.5 μB/f.u. For the uncorrected formation energy, the calculation gives -1.0991 eV/atom. As for the space group: Fm-3m.

***

Entry 4:
Compound: KCaS2
Source: Alexandria via LeMat-Bulk
Functional: GGA-PBE
Structure: relaxed

Geometry as extended XYZ:
```
8
Lattice="-3.1529 3.1529 7.5569 3.1529 -3.1529 7.5569 3.1529 3.1529 -7.5569" Properties=species:S:1:pos:R:3 pbc="T T T"
K 0.0000 0.0000 0.0000
K 0.0000 3.1529 3.7785
Ca 3.1529 0.0000 3.7785
Ca 0.0000 0.0000 7.5569
S 1.5765 -1.0964 5.6677
S 2.0565 1.5765 1.8892
S 1.5765 4.2493 -1.8892
S 1.0964 1.5765 9.4462
```

## Properties
The calculation puts the size of the total moment at 1.0 μB/f.u. For the uncorrected formation energy, the calculation gives -1.0707 eV/atom. As for the space group: I-42d.

***

Entry 5:
Compound: KCaS14
Source: Alexandria via LeMat-Bulk
Functional: GGA-PBE
Structure: relaxed

Geometry as extended XYZ:
```
32
Lattice="-5.4600 6.8914 6.5385 5.4600 -6.8914 6.5385 5.4600 6.8914 -6.5385" Properties=species:S:1:pos:R:3 pbc="T T T"
K 0.0000 3.4457 0.9875
K 5.4600 3.4457 5.5510
Ca 2.7300 3.4457 -3.2693
Ca 2.7300 -3.4457 3.2693
S 1.6667 1.7228 -1.3577
S 9.2533 1.7228 -1.3577
S 5.4600 5.2408 -4.0522
S 5.4600 2.2453 -0.5139
S 5.4600 -1.6506 4.0522
S 5.4600 1.9362 1.3902
S 1.6667 5.1686 -1.3577
S 3.7933 -1.7228 5.1808
S 5.4600 4.6461 -0.5139
S 2.7623 2.0564 2.3083
S 8.1578 2.0564 2.3083
S 5.4600 4.9552 1.3902
S 2.7623 8.9478 -2.3083
S 2.6977 2.0564 4.2302
S 2.7623 4.8350 2.3083
S 2.6977 -2.0564 8.8468
S 0.0000 1.9362 5.1483
S -2.6977 4.8350 4.2302
S 2.6977 4.8350 4.2302
S 0.0000 2.2453 7.0525
S 1.6667 8.6141 1.3577
S 3.7933 1.7228 7.8962
S 0.0000 4.9552 5.1483
S 0.0000 8.5420 2.4863
S 0.0000 4.6461 7.0525
S 0.0000 1.6506 10.5907
S -3.7933 5.1686 7.8962
S 3.7933 5.1686 7.8962
```

## Properties
The calculation puts the size of the total moment at 0.0 μB/f.u. For the uncorrected formation energy, the calculation gives -0.2146 eV/atom. As for the space group: Imma.

***

Entry 6:
Compound: K3CaS
Source: Alexandria via LeMat-Bulk
Functional: GGA-PBE
Structure: relaxed

Geometry as extended XYZ:
```
5
Lattice="6.2580 0.0000 0.0000 0.0000 6.2580 0.0000 0.0000 0.0000 6.2580" Properties=species:S:1:pos:R:3 pbc="T T T"
K 0.0000 0.0000 3.1290
K 0.0000 3.1290 0.0000
K 3.1290 0.0000 0.0000
Ca 3.1290 3.1290 3.1290
S 0.0000 0.0000 0.0000
```

## Properties
The calculation puts the size of the total moment at 0.0 μB/f.u. For the uncorrected formation energy, the calculation gives -0.3489 eV/atom. As for the distance to the lowest polymorph of the same formula: 0 meV per atom. As for the space group: Pm-3m.

***

Entry 7:
Compound: K3CaS
Source: Alexandria via LeMat-Bulk
Functional: GGA-PBE
Structure: relaxed

Geometry as extended XYZ:
```
5
Lattice="7.0500 0.0000 0.0000 0.0000 7.0500 0.0000 0.0000 0.0000 7.0500" Properties=species:S:1:pos:R:3 pbc="T T T"
K 0.0000 0.0000 3.5250
K 0.0000 3.5250 0.0000
K 3.5250 0.0000 0.0000
Ca 0.0000 0.0000 0.0000
S 3.5250 3.5250 3.5250
```

## Properties
The calculation puts the size of the total moment at 1.0 μB/f.u. For the uncorrected formation energy, the calculation gives 0.5927 eV/atom. As for the distance to the lowest polymorph of the same formula: 942 meV per atom. As for the space group: Pm-3m.

***

Entry 8:
Compound: K2Ca2S
Source: Alexandria via LeMat-Bulk
Functional: GGA-PBE
Structure: relaxed

Geometry as extended XYZ:
```
10
Lattice="7.6387 0.0000 0.0000 0.0000 7.6387 0.0000 0.0000 0.0000 7.7599" Properties=species:S:1:pos:R:3 pbc="T T T"
K 1.3565 2.4628 0.0000
K 2.4628 6.2822 0.0000
K 5.1759 1.3565 0.0000
K 6.2822 5.1759 0.0000
Ca 1.4522 5.2715 3.8799
Ca 2.3672 1.4522 3.8799
Ca 5.2715 6.1865 3.8799
Ca 6.1865 2.3672 3.8799
S 0.0000 0.0000 3.8799
S 3.8194 3.8194 3.8799
```

## Properties
The calculation puts the size of the total moment at 0.0 μB/f.u. For the uncorrected formation energy, the calculation gives -0.5140 eV/atom. As for the space group: P4/mbm.

***

Number 1: raw total energy -3.60 eV per atom. Number 2: raw total energy -2.77 eV per atom. Number 3: raw total energy -3.94 eV per atom. Number 4: raw total energy -3.91 eV per atom. Number 5: raw total energy -4.02 eV per atom. Number 6: raw total energy -2.23 eV per atom. Number 7: raw total energy -1.29 eV per atom. Number 8: raw total energy -2.58 eV per atom.